LiPrAl2Zn4, relaxed, DFT PBE; total DFT energy (no corrections) = -21.3 eV/cell; formation energy = -2.0 eV/f.u.; symmetry = R-3m; size of the total moment = 0.000 μB/atom
1.0
2.208 1.275 8.420
-2.208 1.275 8.420
0.000 -2.550 8.420
Li Pr Al Zn
1 1 2 4
Direct
0.000 0.000 0.000
0.500 0.500 0.500
0.257 0.257 0.257
0.743 0.743 0.743
0.101 0.101 0.101
0.368 0.368 0.368
0.632 0.632 0.632
0.899 0.899 0.899

=====

Y3SbSe3, relaxed, DFT PBE; total DFT energy (no corrections) = -89.6 eV/cell; symmetry = R-3; size of the total moment = 0.000 μB/atom; ΔE_f (raw) = -1045 kJ/mol of formula units
1.0
4.130 2.385 7.059
-4.130 2.385 7.059
0.000 -4.769 7.059
Y Sb Se
6 2 6
Direct
0.018 0.791 0.424
0.209 0.576 0.982
0.424 0.018 0.791
0.576 0.982 0.209
0.791 0.424 0.018
0.982 0.209 0.576
0.166 0.166 0.166
0.834 0.834 0.834
0.130 0.373 0.668
0.332 0.870 0.627
0.373 0.668 0.130
0.627 0.332 0.870
0.668 0.130 0.373
0.870 0.627 0.332

=====

CsRbNa17, relaxed, DFT PBE; total DFT energy (no corrections) = -23.9 eV/cell; formation energy = 0.4 eV/f.u.; symmetry = R3m; size of the total moment = 0.000 μB/atom
1.0
6.267 3.618 6.116
-6.267 3.618 6.116
0.000 -7.236 6.116
Cs Rb Na
1 1 17
Direct
0.000 0.000 0.000
0.686 0.686 0.686
0.053 0.346 0.634
0.053 0.634 0.346
0.201 0.689 0.689
0.249 0.249 0.249
0.344 0.344 0.844
0.344 0.844 0.344
0.346 0.053 0.634
0.346 0.634 0.053
0.441 0.441 0.441
0.490 0.998 0.998
0.634 0.053 0.346
0.634 0.346 0.053
0.689 0.201 0.689
0.689 0.689 0.201
0.844 0.344 0.344
0.998 0.490 0.998
0.998 0.998 0.490

=====

ReB, relaxed, DFT PBE; total DFT energy (no corrections) = -112.9 eV/cell; formation energy = 0.3 eV/f.u.; symmetry = Pmmn; size of the total moment = 0.000 μB/atom
1.0
4.276 0.000 0.000
0.000 10.685 0.000
0.000 0.000 2.995
Re B
6 6
Direct
0.250 0.101 0.063
0.250 0.399 0.063
0.250 0.750 0.428
0.750 0.250 0.572
0.750 0.601 0.937
0.750 0.899 0.937
0.250 0.250 0.608
0.250 0.584 0.816
0.250 0.916 0.816
0.750 0.084 0.184
0.750 0.416 0.184
0.750 0.750 0.392

=====

Pm2Dy2Th5, relaxed, DFT PBE; total DFT energy (no corrections) = -55.2 eV/cell; formation energy = 0.6 eV/f.u.; symmetry = C2/m; size of the total moment = 0.000 μB/atom
1.0
5.681 -2.520 0.000
5.681 2.520 0.000
-3.429 0.000 10.234
Pm Dy Th
2 2 5
Direct
0.166 0.166 0.057
0.834 0.834 0.943
0.167 0.167 0.391
0.833 0.833 0.609
0.163 0.163 0.720
0.498 0.498 0.828
0.500 0.500 0.500
0.502 0.502 0.172
0.837 0.837 0.280

=====

CsMnWC2, relaxed, DFT PBE; total DFT energy (no corrections) = -26.8 eV/cell; formation energy = 14.6 eV/f.u.; symmetry = P4/mmm; size of the total moment = 0.924 μB/atom
1.0
3.984 0.000 0.000
0.000 3.984 0.000
0.000 0.000 5.476
Cs Mn W C
1 1 1 2
Direct
0.000 0.000 0.000
0.000 0.000 0.500
0.500 0.500 0.000
0.000 0.500 0.500
0.500 0.000 0.500

=====

Nd2Y4Th3, relaxed, DFT PBE; total DFT energy (no corrections) = -56.9 eV/cell; formation energy = 0.7 eV/f.u.; symmetry = P3m1; size of the total moment = 0.000 μB/atom
1.0
3.591 0.000 0.000
-1.796 3.110 0.000
0.000 0.000 26.790
Nd Y Th
2 4 3
Direct
0.000 0.000 0.000
0.000 0.000 0.220
0.000 0.000 0.347
0.000 0.000 0.564
0.333 0.667 0.671
0.333 0.667 0.888
0.000 0.000 0.780
0.333 0.667 0.112
0.333 0.667 0.453

=====

Ba2GaAgAu6, relaxed, DFT PBE; total DFT energy (no corrections) = -33.9 eV/cell; formation energy = -4.5 eV/f.u.; symmetry = P-1; size of the total moment = 0.000 μB/atom
1.0
6.876 0.000 0.000
3.414 6.003 0.000
3.392 1.919 6.373
Ba Ga Ag Au
2 1 1 6
Direct
0.222 0.223 0.332
0.778 0.777 0.668
0.000 0.000 0.000
0.500 0.500 0.500
0.246 0.660 0.846
0.248 0.246 0.838
0.335 0.755 0.159
0.665 0.245 0.841
0.752 0.754 0.162
0.754 0.340 0.154

=====

HfTcH3, relaxed, DFT PBE; total DFT energy (no corrections) = -62.3 eV/cell; symmetry = I4mm; size of the total moment = 0.000 μB/atom; energy above the most stable polymorph in this dataset = 0.0 meV/atom
1.0
3.259 0.000 0.000
0.000 3.259 0.000
0.000 0.000 8.783
Hf Tc H
2 2 6
Direct
0.000 0.000 0.000
0.500 0.500 0.500
0.000 0.000 0.676
0.500 0.500 0.176
0.000 0.000 0.477
0.000 0.500 0.297
0.000 0.500 0.797
0.500 0.000 0.297
0.500 0.000 0.797
0.500 0.500 0.977

=====

Cs2AlHgH6, relaxed, DFT PBE; total DFT energy (no corrections) = -26.7 eV/cell; symmetry = Fmmm; size of the total moment = 0.000 μB/atom
1.0
0.000 4.287 4.371
4.271 0.000 4.371
4.271 4.287 0.000
Cs Al Hg H
2 1 1 6
Direct
0.250 0.250 0.250
0.750 0.750 0.750
0.000 0.000 0.000
0.500 0.500 0.500
0.205 0.205 0.795
0.210 0.790 0.210
0.211 0.789 0.789
0.789 0.211 0.211
0.790 0.210 0.790
0.795 0.795 0.205

=====

Ba2FeHg, relaxed, DFT PBE; total DFT energy (no corrections) = -23.5 eV/cell; formation energy = 0.9 eV/f.u.; symmetry = Imm2; size of the total moment = 0.588 μB/atom
1.0
4.200 0.000 0.000
0.000 5.504 0.000
0.000 0.000 11.825
Ba Fe Hg
4 2 2
Direct
0.000 0.000 0.000
0.000 0.500 0.205
0.500 0.000 0.705
0.500 0.500 0.500
0.000 0.000 0.423
0.500 0.500 0.923
0.000 0.500 0.782
0.500 0.000 0.282

=====

TbPm3Ho5, relaxed, DFT PBE; total DFT energy (no corrections) = -78.8 eV/cell; formation energy = 2.4 eV/f.u.; symmetry = I4/mcm; size of the total moment = 0.000 μB/atom; energy above the most stable polymorph in this dataset = 0.0 meV/atom
1.0
-4.349 4.349 7.725
4.349 -4.349 7.725
4.349 4.349 -7.725
Tb Pm Ho
2 6 10
Direct
0.250 0.750 0.500
0.750 0.250 0.500
0.117 0.617 0.733
0.250 0.250 0.000
0.383 0.117 0.500
0.617 0.883 0.500
0.750 0.750 0.000
0.883 0.383 0.267
0.000 0.000 0.000
0.072 0.153 0.500
0.153 0.653 0.080
0.347 0.428 0.500
0.428 0.928 0.080
0.500 0.500 0.000
0.572 0.072 0.920
0.653 0.572 0.500
0.847 0.347 0.920
0.928 0.847 0.500